Record 1
Cs2Np2US6 | GGA-PBE | relaxed

Cell: 7.027 7.027 8.575 Å, 97.90 97.90 119.95°
Positions (direct):
Cs (0.832, 0.168, 0.000)
Cs (0.168, 0.832, 0.000)
Np (0.334, 0.666, 0.500)
Np (0.666, 0.334, 0.500)
U (0.000, 0.000, 0.500)
S (0.731, 0.731, 0.675)
S (0.057, 0.388, 0.675)
S (0.269, 0.269, 0.325)
S (0.388, 0.057, 0.675)
S (0.943, 0.612, 0.325)
S (0.612, 0.943, 0.325)

Crystal system   monoclinic
Space-group type   No. 12
Magnetic moment   10.00 μB/f.u.
Uncorrected formation energy   -1419.0 meV per atom

---

Record 2
K2Pu3GaO12 | GGA-PBE | relaxed

Cell: 7.394 7.394 7.394 Å, 64.04 64.04 64.04°
Positions (direct):
K (0.641, 0.641, 0.641)
K (0.359, 0.359, 0.359)
Pu (0.500, 0.000, 0.000)
Pu (0.000, 0.500, 0.000)
Pu (0.000, 0.000, 0.500)
Ga (0.000, 0.000, 0.000)
O (0.322, 0.322, 0.942)
O (0.939, 0.939, 0.307)
O (0.307, 0.939, 0.939)
O (0.942, 0.322, 0.322)
O (0.939, 0.307, 0.939)
O (0.322, 0.942, 0.322)
O (0.678, 0.678, 0.058)
O (0.061, 0.061, 0.693)
O (0.693, 0.061, 0.061)
O (0.058, 0.678, 0.678)
O (0.061, 0.693, 0.061)
O (0.678, 0.058, 0.678)

Crystal system   trigonal
Space-group type   No. 166
Magnetic moment   5.00 μB/f.u.
Uncorrected formation energy   -2266.4 meV per atom

---

Record 3
PmGe4Rh4 | GGA-PBE | relaxed

Cell: 6.151 6.151 8.235 Å, 90.00 90.00 90.00°
Positions (direct):
Pm (0.000, 0.000, 0.000)
Pm (0.500, 0.500, 0.500)
Ge (0.500, 0.790, 0.823)
Ge (0.500, 0.210, 0.823)
Ge (0.790, 0.500, 0.177)
Ge (0.210, 0.500, 0.177)
Ge (0.290, 0.000, 0.323)
Ge (0.710, 0.000, 0.323)
Ge (0.000, 0.290, 0.677)
Ge (0.000, 0.710, 0.677)
Rh (0.230, 0.500, 0.877)
Rh (0.770, 0.500, 0.877)
Rh (0.500, 0.770, 0.123)
Rh (0.500, 0.230, 0.123)
Rh (0.000, 0.730, 0.377)
Rh (0.000, 0.270, 0.377)
Rh (0.270, 0.000, 0.623)
Rh (0.730, 0.000, 0.623)

Formation enthalpy at 0 K   -0.621 eV per atom
Crystal system   tetragonal
Space-group type   No. 137
Magnetic moment   0.00 μB/f.u.

---

Record 4
Ba2NaLi4Sb3 | GGA-PBE | relaxed

Cell: 4.859 4.859 11.628 Å, 90.00 90.00 90.00°
Positions (direct):
Ba (0.500, 0.000, 0.227)
Ba (0.000, 0.500, 0.773)
Na (0.500, 0.500, 0.500)
Li (0.500, 0.500, 0.000)
Li (0.000, 0.000, 0.000)
Li (0.500, 0.000, 0.632)
Li (0.000, 0.500, 0.368)
Sb (0.000, 0.000, 0.500)
Sb (0.500, 0.000, 0.866)
Sb (0.000, 0.500, 0.134)

Crystal system   tetragonal
Space-group type   No. 115
Magnetic moment   0.00 μB/f.u.
Uncorrected formation energy   -736.8 meV per atom

---

Record 5
Ca2AgW | GGA-PBE | relaxed

Cell: 5.674 5.674 2.971 Å, 90.00 90.00 106.97°
Positions (direct):
Ca (0.000, 0.000, 0.000)
Ca (0.500, 0.500, 0.000)
Ag (0.000, 0.500, 0.500)
W (0.500, 0.000, 0.500)

Formation enthalpy at 0 K   0.667 eV per atom
Crystal system   orthorhombic
Space-group type   No. 65
ΔE to the lowest computed polymorph   154.6 meV/atom
Magnetic moment   0.00 μB/f.u.

---

Record 6
FePOs2Au | GGA-PBE | relaxed

Cell: 4.354 2.799 6.236 Å, 90.00 100.66 90.00°
Positions (direct):
Fe (0.527, 0.000, 0.425)
P (0.901, 0.500, 0.352)
Os (0.611, 0.500, 0.772)
Os (0.082, 0.000, 0.659)
Au (0.207, 0.500, 0.070)

Formation enthalpy at 0 K   0.198 eV per atom
Crystal system   monoclinic
Space-group type   No. 6
ΔE to the lowest computed polymorph   118.1 meV/atom
Magnetic moment   0.98 μB/f.u.

---

Record 7
La3BIr | GGA-PBE | relaxed

Cell: 5.135 5.135 5.135 Å, 90.00 90.00 90.00°
Positions (direct):
B (0.000, 0.000, 0.000)
Ir (0.500, 0.500, 0.500)
La (0.000, 0.500, 0.000)
La (0.000, 0.000, 0.500)
La (0.500, 0.000, 0.000)

Formation enthalpy at 0 K   0.199 eV per atom
Crystal system   cubic
Space-group type   No. 221
ΔE to the lowest computed polymorph   0.0 meV/atom
Magnetic moment   0.00 μB/f.u.

---

Record 8
LaHo2Cd | GGA-PBE | relaxed

Cell: 3.618 3.618 11.139 Å, 80.65 80.65 60.00°
Positions (direct):
La (0.500, 0.500, 0.500)
Ho (0.075, 0.075, 0.776)
Ho (0.259, 0.259, 0.223)
Cd (0.666, 0.666, 0.001)

Formation enthalpy at 0 K   -0.042 eV per atom
Crystal system   trigonal
Space-group type   No. 160
ΔE to the lowest computed polymorph   103.9 meV/atom
Magnetic moment   0.00 μB/f.u.

---

Record 9
Nd2CuP4Rh3 | GGA-PBE | relaxed

Cell: 4.197 4.197 9.527 Å, 90.00 90.00 90.00°
Positions (direct):
Nd (0.500, 0.000, 0.245)
Nd (0.000, 0.500, 0.755)
Cu (0.500, 0.500, 0.500)
P (0.500, 0.500, 0.000)
P (0.000, 0.000, 0.000)
P (0.500, 0.000, 0.636)
P (0.000, 0.500, 0.364)
Rh (0.000, 0.000, 0.500)
Rh (0.500, 0.000, 0.888)
Rh (0.000, 0.500, 0.112)

Formation enthalpy at 0 K   -0.993 eV per atom
Crystal system   tetragonal
Space-group type   No. 115
Magnetic moment   0.00 μB/f.u.

---

Record 10
Ca5GePt2 | GGA-PBE | relaxed

Cell: 7.743 7.743 8.968 Å, 115.57 115.57 90.00°
Positions (direct):
Ca (0.533, 0.689, 0.722)
Ca (0.811, 0.967, 0.278)
Ca (0.000, 0.000, 0.000)
Ca (0.500, 0.500, 0.000)
Ca (0.189, 0.033, 0.722)
Ca (0.689, 0.189, 0.722)
Ca (0.033, 0.533, 0.722)
Ca (0.311, 0.811, 0.278)
Ca (0.967, 0.467, 0.278)
Ca (0.467, 0.311, 0.278)
Ge (0.750, 0.750, 0.500)
Ge (0.250, 0.250, 0.500)
Pt (0.125, 0.375, 0.000)
Pt (0.625, 0.125, 0.000)
Pt (0.375, 0.875, 0.000)
Pt (0.875, 0.625, 0.000)

Formation enthalpy at 0 K   -0.773 eV per atom
Crystal system   tetragonal
Space-group type   No. 140
Magnetic moment   0.00 μB/f.u.

---

Record 11
Hf2TaIn | GGA-PBE | relaxed

Cell: 3.159 3.159 10.118 Å, 81.02 81.02 60.00°
Positions (direct):
Hf (0.087, 0.087, 0.739)
Hf (0.247, 0.247, 0.260)
Ta (0.500, 0.500, 0.501)
In (0.667, 0.667, 0.000)

Formation enthalpy at 0 K   0.065 eV per atom
Crystal system   trigonal
Space-group type   No. 160
Magnetic moment   0.00 μB/f.u.

---

Record 12
TbY3Tl3 | GGA-PBE | relaxed

Cell: 5.245 9.430 9.430 Å, 120.00 90.00 90.00°
Positions (direct):
Tb (0.250, 0.667, 0.333)
Tb (0.750, 0.333, 0.667)
Y (0.250, 0.766, 0.765)
Y (0.250, 0.235, 0.001)
Y (0.250, 0.999, 0.234)
Y (0.750, 0.234, 0.235)
Y (0.750, 0.765, 0.999)
Y (0.750, 0.001, 0.766)
Tl (0.750, 0.622, 0.551)
Tl (0.750, 0.449, 0.071)
Tl (0.750, 0.929, 0.378)
Tl (0.250, 0.378, 0.449)
Tl (0.250, 0.551, 0.929)
Tl (0.250, 0.071, 0.622)

Formation enthalpy at 0 K   -0.241 eV per atom
Crystal system   hexagonal
Space-group type   No. 176
ΔE to the lowest computed polymorph   40.7 meV/atom
Magnetic moment   0.00 μB/f.u.

---

Record 13
BeCd2Fe | GGA-PBE | relaxed

Cell: 5.306 5.306 5.306 Å, 146.70 129.44 61.90°
Positions (direct):
Be (0.250, 0.750, 0.500)
Fe (0.750, 0.250, 0.500)
Cd (0.028, 0.028, 0.000)
Cd (0.472, 0.472, 0.000)

Formation enthalpy at 0 K   0.484 eV per atom
Crystal system   orthorhombic
Space-group type   No. 71
Magnetic moment   2.43 μB/f.u.

---

Record 14
DyHg4 | GGA-PBE | relaxed

Cell: 5.104 4.970 6.380 Å, 64.39 66.42 59.10°
Positions (direct):
Dy (0.000, 0.000, 0.000)
Hg (0.796, 0.793, 0.616)
Hg (0.204, 0.207, 0.384)
Hg (0.403, 0.407, 0.788)
Hg (0.597, 0.593, 0.212)

Formation enthalpy at 0 K   -0.209 eV per atom
Crystal system   monoclinic
Space-group type   No. 12
ΔE to the lowest computed polymorph   6.0 meV/atom
Magnetic moment   0.00 μB/f.u.

---

Record 15
BaTaAu2 | GGA-PBE | relaxed

Cell: 5.193 5.193 5.193 Å, 60.00 60.00 60.00°
Positions (direct):
Au (0.250, 0.250, 0.250)
Au (0.750, 0.750, 0.750)
Ba (0.000, 0.000, 0.000)
Ta (0.500, 0.500, 0.500)

Formation enthalpy at 0 K   0.427 eV per atom
Crystal system   cubic
Space-group type   No. 225
ΔE to the lowest computed polymorph   540.7 meV/atom
Magnetic moment   1.97 μB/f.u.

---

Record 16
SnBi2Br | GGA-PBE | relaxed

Cell: 5.447 5.447 5.447 Å, 60.00 60.00 60.00°
Positions (direct):
Bi (0.250, 0.250, 0.250)
Bi (0.750, 0.750, 0.750)
Br (0.000, 0.000, 0.000)
Sn (0.500, 0.500, 0.500)

Crystal system   cubic
Space-group type   No. 225
ΔE to the lowest computed polymorph   39.2 meV/atom
Magnetic moment   0.00 μB/f.u.
Uncorrected formation energy   8.9 meV per atom

---

Record 17
PmSm4TmS8 | GGA-PBE | relaxed

Cell: 8.197 8.197 8.199 Å, 60.01 60.01 60.00°
Positions (direct):
Pm (0.001, 0.001, 0.996)
Sm (0.625, 0.625, 0.125)
Sm (0.001, 0.496, 0.501)
Sm (0.496, 0.001, 0.501)
Sm (0.001, 0.001, 0.501)
Tm (0.375, 0.375, 0.875)
S (0.247, 0.760, 0.745)
S (0.760, 0.247, 0.745)
S (0.247, 0.247, 0.745)
S (0.246, 0.246, 0.261)
S (0.757, 0.226, 0.259)
S (0.226, 0.757, 0.259)
S (0.757, 0.757, 0.259)
S (0.758, 0.758, 0.726)

Crystal system   trigonal
Space-group type   No. 160
Magnetic moment   0.00 μB/f.u.
Uncorrected formation energy   -1917.1 meV per atom

---

Record 18
Ti2CoMo | GGA-PBE | relaxed

Cell: 6.738 6.738 5.474 Å, 52.01 52.01 90.00°
Positions (direct):
Mo (0.000, 0.000, 0.000)
Mo (0.750, 0.250, 0.500)
Co (0.500, 0.500, 0.000)
Co (0.250, 0.750, 0.500)
Ti (0.595, 0.125, 0.250)
Ti (0.155, 0.625, 0.250)
Ti (0.375, 0.405, 0.750)
Ti (0.875, 0.845, 0.750)

Formation enthalpy at 0 K   0.224 eV per atom
Crystal system   tetragonal
Space-group type   No. 122
Magnetic moment   0.00 μB/f.u.

---

Record 19
Mg2ZnTc | GGA-PBE | relaxed

Cell: 2.801 2.801 9.051 Å, 90.00 90.00 105.17°
Positions (direct):
Mg (0.000, 0.000, 0.982)
Mg (0.500, 0.500, 0.274)
Tc (0.000, 0.000, 0.511)
Zn (0.500, 0.500, 0.733)

Formation enthalpy at 0 K   0.174 eV per atom
Crystal system   orthorhombic
Space-group type   No. 35
ΔE to the lowest computed polymorph   89.0 meV/atom
Magnetic moment   0.00 μB/f.u.

---

Record 20
Ga2SnPb | GGA-PBE | relaxed

Cell: 4.298 4.298 7.095 Å, 72.37 72.37 60.00°
Positions (direct):
Ga (0.093, 0.093, 0.720)
Ga (0.241, 0.241, 0.278)
Sn (0.498, 0.498, 0.507)
Pb (0.668, 0.668, 0.995)

Formation enthalpy at 0 K   0.094 eV per atom
Crystal system   trigonal
Space-group type   No. 160
ΔE to the lowest computed polymorph   46.8 meV/atom
Magnetic moment   0.00 μB/f.u.

---

Record 21
Pm2GaGePt6 | GGA-PBE | relaxed

Cell: 6.732 6.584 6.736 Å, 79.28 48.09 98.77°
Positions (direct):
Pm (0.245, 0.782, 0.464)
Pm (0.755, 0.218, 0.536)
Ga (0.500, 0.500, 0.000)
Ge (0.000, 0.000, 0.000)
Pt (0.259, 0.761, 0.999)
Pt (0.749, 0.601, 0.149)
Pt (0.242, 0.239, 0.501)
Pt (0.741, 0.239, 0.001)
Pt (0.251, 0.399, 0.851)
Pt (0.758, 0.761, 0.499)

Formation enthalpy at 0 K   -0.819 eV per atom
Crystal system   triclinic
Space-group type   No. 2
Magnetic moment   0.00 μB/f.u.

---

Record 22
Tl5Zn3 | GGA-PBE | relaxed

Cell: 8.572 8.572 6.551 Å, 90.00 90.00 120.00°
Positions (direct):
Tl (0.333, 0.667, 0.000)
Tl (0.667, 0.333, 0.500)
Tl (0.667, 0.333, 0.000)
Tl (0.333, 0.667, 0.500)
Tl (0.237, 0.000, 0.250)
Tl (0.763, 0.000, 0.750)
Tl (0.000, 0.237, 0.250)
Tl (0.763, 0.763, 0.250)
Tl (0.237, 0.237, 0.750)
Tl (0.000, 0.763, 0.750)
Zn (0.599, 0.000, 0.250)
Zn (0.401, 0.000, 0.750)
Zn (0.000, 0.599, 0.250)
Zn (0.401, 0.401, 0.250)
Zn (0.599, 0.599, 0.750)
Zn (0.000, 0.401, 0.750)

Formation enthalpy at 0 K   0.140 eV per atom
Crystal system   hexagonal
Space-group type   No. 193
ΔE to the lowest computed polymorph   7.1 meV/atom
Magnetic moment   0.00 μB/f.u.

---

Record 23
LaSnPdPt3 | GGA-PBE | relaxed

Cell: 7.555 5.786 6.531 Å, 116.29 90.00 90.00°
Positions (direct):
La (0.750, 0.329, 0.659)
La (0.250, 0.671, 0.341)
Sn (0.250, 0.371, 0.743)
Sn (0.750, 0.629, 0.257)
Pd (0.250, 0.898, 0.795)
Pd (0.750, 0.102, 0.205)
Pt (0.250, 0.145, 0.290)
Pt (0.000, 0.255, 0.000)
Pt (0.500, 0.745, 0.000)
Pt (0.500, 0.255, 0.000)
Pt (0.000, 0.745, 0.000)
Pt (0.750, 0.855, 0.710)

Formation enthalpy at 0 K   -0.638 eV per atom
Crystal system   orthorhombic
Space-group type   No. 63
Magnetic moment   0.00 μB/f.u.